KErCoO3 | PBE with a Hubbard U | optimized geometry

Structure (POSCAR):
```
KErCoO3
1.0
1.7343 -5.9210 0.0000
1.7343 5.9210 0.0000
0.0000 0.0000 8.9890
K Er Co O
2 2 2 6
Direct
0.2219 0.7781 0.7500
0.7781 0.2219 0.2500
0.5000 0.5000 0.0000
0.5000 0.5000 0.5000
0.0537 0.9463 0.2500
0.9463 0.0537 0.7500
0.1152 0.8848 0.0545
0.1152 0.8848 0.4455
0.4611 0.5389 0.2500
0.5389 0.4611 0.7500
0.8848 0.1152 0.5545
0.8848 0.1152 0.9455
```

Calculated values
- magnetic moment (μB per formula unit) = 3.00
- total DFT energy (no corrections) (eV for the cell shown) = -76.7